# TlV2ReO8 | Alexandria via LeMat-Bulk | PBE with a Hubbard U | relaxed
# Magnetization: 2.133 Bohr magnetons per cell
# Total energy: -7.41 eV/atom
data_TlV2ReO8
_cell_length_a 9.385
_cell_length_b 5.679
_cell_length_c 8.036
_cell_angle_alpha 90.00
_cell_angle_beta 91.83
_cell_angle_gamma 90.00
_symmetry_space_group_name_H-M 'C 1 2/m 1'
_symmetry_Int_Tables_number 12
loop_
_symmetry_equiv_pos_as_xyz
'x,y,z'
'-x,-y,-z'
'-x,y,-z'
'x,-y,z'
'x+1/2,y+1/2,z'
'-x+1/2,-y+1/2,-z'
'-x+1/2,y+1/2,-z'
'x+1/2,-y+1/2,z'
loop_
_atom_site_label
_atom_site_type_symbol
_atom_site_fract_x
_atom_site_fract_y
_atom_site_fract_z
_atom_site_occupancy
Tl1 Tl 0.000 0.000 0.000 1
V1 V 0.147 0.500 0.288 1
Re1 Re 0.000 0.000 0.500 1
O1 O 0.051 0.238 0.342 1
O2 O 0.180 0.500 0.086 1
O3 O 0.193 0.000 0.589 1